# Hf2ZrNbO, relaxed, DFT PBE
data_Hf2ZrNbO
_cell_length_a 4.5007
_cell_length_b 4.5007
_cell_length_c 4.3953
_cell_angle_alpha 90.00
_cell_angle_beta 90.00
_cell_angle_gamma 90.00
_symmetry_space_group_name_H-M 'P 1'
_symmetry_Int_Tables_number 1
loop_
_symmetry_equiv_pos_as_xyz
'x,y,z'
loop_
_atom_site_label
_atom_site_type_symbol
_atom_site_fract_x
_atom_site_fract_y
_atom_site_fract_z
Hf1 Hf 0.0000 0.5000 0.0000
Hf2 Hf 0.5000 0.0000 0.0000
Zr1 Zr 0.0000 0.0000 0.5000
Nb1 Nb 0.5000 0.5000 0.5000
O1 O 0.5000 0.5000 0.0000
# E = -9.62 eV per atom
# SG = P4/mmm, No. 123
# ΔE to the lowest computed polymorph = 0.0956 eV per atom